Density functional theory data (PBE with a Hubbard U) for K2MgCrF6 after structural relaxation.

Values from the calculation:
M_tot	4.00	μB/f.u.
DFT total energy	-5.248	eV/atom
space-group type	I4/mmm

Structure (POSCAR):
```
K2MgCrF6
1.0
-4.958 -2.593 1.301
-0.781 -1.288 -5.543
4.226 -7.506 1.148
K Mg Cr F
4 2 2 12
Direct
0.500 0.750 0.250
0.000 0.250 0.750
0.500 0.750 0.750
0.000 0.250 0.250
0.000 0.750 0.500
0.500 0.250 0.000
0.500 0.250 0.500
0.000 0.750 0.000
0.500 0.250 0.229
0.500 0.250 0.771
0.000 0.750 0.271
0.000 0.750 0.729
0.249 0.999 0.500
0.751 0.999 0.500
0.249 0.501 0.500
0.751 0.501 0.500
0.749 0.499 0.000
0.251 0.499 0.000
0.251 0.001 0.000
0.749 0.001 0.000
```